(1)
Computed, not measured: an optimized crystal structure of La2DyPt2 at the PBE level of DFT.

Geometry as POSCAR:
```
La2DyPt2
1.0
7.949 0.000 0.000
0.000 7.949 0.000
0.000 0.000 4.152
La Dy Pt
4 2 4
Cartesian
1.295 2.679 0.000
2.679 6.654 0.000
5.270 1.295 0.000
6.654 5.270 0.000
0.000 0.000 2.076
3.975 3.975 2.076
1.122 5.096 2.076
2.853 1.122 2.076
5.096 6.828 2.076
6.828 2.853 2.076
```

Computed properties:
Space-group type: P4/mbm
E_form, meV/atom: -998

(2)
Computed, not measured: an optimized crystal structure of LaDyPtRh at the PBE level of DFT.

Geometry as POSCAR:
```
LaDyPtRh
1.0
4.501 0.000 0.000
0.000 1.931 5.321
0.000 -1.931 5.321
La Dy Pt Rh
1 1 1 1
Cartesian
0.000 0.000 0.000
2.251 0.000 2.991
2.251 0.000 5.989
0.000 0.000 7.894
```

Computed properties:
Space-group type: Amm2
Energy above the lowest structure with this stoichiometry, meV per atom: 0
E_form, meV/atom: -1015

(3)
Computed, not measured: an optimized crystal structure of LaDyPtRh at the PBE level of DFT.

Geometry as POSCAR:
```
LaDyPtRh
1.0
0.000 3.549 3.549
3.549 0.000 3.549
3.549 3.549 0.000
La Dy Pt Rh
1 1 1 1
Cartesian
0.000 0.000 0.000
3.549 3.549 3.549
1.774 1.774 1.774
5.323 5.323 5.323
```

Computed properties:
Space-group type: F-43m
Energy above the lowest structure with this stoichiometry, meV per atom: 85
E_form, meV/atom: -930

(4)
Computed, not measured: an optimized crystal structure of La2DySb3Pt4 at the PBE level of DFT.

Geometry as POSCAR:
```
La2DySb3Pt4
1.0
4.578 0.000 0.000
0.000 4.578 0.000
0.000 0.000 11.377
La Dy Sb Pt
2 1 3 4
Cartesian
0.000 2.289 2.462
2.289 0.000 8.916
0.000 0.000 5.689
0.000 2.289 9.914
2.289 0.000 1.463
2.289 2.289 5.689
0.000 0.000 0.000
0.000 2.289 7.306
2.289 0.000 4.071
2.289 2.289 0.000
```

Computed properties:
Space-group type: P-4m2
ΔE_f (raw), eV/atom: -1.004

(5)
Computed, not measured: an optimized crystal structure of La2DySi3Pt12 at the PBE level of DFT.

Geometry as POSCAR:
```
La2DySi3Pt12
1.0
4.175 2.410 6.083
-4.175 2.410 6.083
0.000 -4.821 6.083
La Dy Si Pt
2 1 3 12
Cartesian
0.000 0.000 1.850
0.000 0.000 16.398
0.000 0.000 9.124
-2.088 -1.205 6.083
-2.088 1.205 12.166
0.000 2.410 6.083
-2.267 -1.309 8.441
0.000 -2.159 5.487
-1.870 1.080 5.487
0.000 -2.618 9.808
-2.267 1.309 9.808
-1.870 -1.080 12.762
1.870 1.080 5.487
2.267 -1.309 8.441
0.000 2.618 8.441
1.870 -1.080 12.762
0.000 2.159 12.762
2.267 1.309 9.808
```

Computed properties:
Space-group type: R-3m
ΔE_f (raw), eV/atom: -0.588

(6)
Computed, not measured: an optimized crystal structure of LaDyTh2Pt4 at the PBE level of DFT.

Geometry as POSCAR:
```
LaDyTh2Pt4
1.0
-2.951 2.951 5.930
2.951 -2.951 5.930
2.951 2.951 -5.930
La Dy Th Pt
1 1 2 4
Cartesian
0.000 0.000 0.000
0.000 0.000 5.930
2.951 0.000 2.965
0.000 2.951 2.965
2.951 0.000 0.000
0.000 0.000 3.028
0.000 2.951 0.000
0.000 0.000 8.832
```

Computed properties:
Space-group type: I4/mmm
E_form, meV/atom: -1192

(7)
Computed, not measured: an optimized crystal structure of LaDyTlPt at the PBE level of DFT.

Geometry as POSCAR:
```
LaDyTlPt
1.0
0.000 3.740 3.740
3.740 0.000 3.740
3.740 3.740 0.000
La Dy Tl Pt
1 1 1 1
Cartesian
0.000 0.000 0.000
3.740 3.740 3.740
5.610 5.610 5.610
1.870 1.870 1.870
```

Computed properties:
Space-group type: F-43m
E_form, meV/atom: -639

(8)
Computed, not measured: an optimized crystal structure of La8Dy5Pu at the PBE level of DFT.

Geometry as POSCAR:
```
La8Dy5Pu
1.0
7.439 -4.415 0.000
7.439 4.415 0.000
-6.038 0.000 7.497
La Dy Pu
8 5 1
Cartesian
-0.633 0.000 1.536
2.774 1.596 1.184
-0.221 0.903 6.581
1.289 -1.558 4.056
9.060 0.903 0.916
6.065 1.596 6.313
7.550 -1.558 3.441
9.471 0.000 5.961
4.419 4.235 3.748
2.981 1.255 4.694
5.858 1.255 2.802
4.370 -1.523 1.989
4.468 -1.523 5.508
7.439 -1.588 0.000
```

Computed properties:
Space-group type: C2
E_form, meV/atom: 187